Entry 1:
The following is a PBE calculation of crystalline Sm3Er2Tm3 at its relaxed geometry, from Alexandria.

## Properties
energy relative to the lowest polymorph listed for this composition: 0.0 meV per atom
formation energy: 0.09 eV per atom
DFT total energy: -0.165 hartree per atom
ρ: 8.41 g cm⁻³

a = 8.5353 Å, b = 8.5353 Å, c = 5.9764 Å
α = 109.20°, β = 109.20°, γ = 38.71°
Last column: nearest neighbours and their distance in Å.
Fractional coordinates of all 8 atoms:
Sm: 0.0000 0.0000 0.0000  2 Sm 3.26, 4 Tm 3.48
Sm: 0.1342 0.1342 0.6984  1 Sm 3.26, 4 Er 3.40-3.52, 5 Tm 3.51-3.64
Sm: 0.8658 0.8658 0.3016  1 Sm 3.26, 4 Er 3.40-3.52, 5 Tm 3.51-3.64
Er: 0.2496 0.2496 0.3182  5 Sm 3.40-3.80, 5 Tm 3.42-3.79, 2 Er 3.56
Er: 0.7504 0.7504 0.6818  5 Sm 3.40-3.80, 5 Tm 3.42-3.79, 2 Er 3.56
Tm: 0.3673 0.3673 0.9203  1 Tm 3.38, 4 Er 3.42-3.52, 5 Sm 3.48-3.64
Tm: 0.5000 0.5000 0.5000  2 Tm 3.38, 4 Sm 3.51
Tm: 0.6327 0.6327 0.0797  1 Tm 3.38, 4 Er 3.42-3.52, 5 Sm 3.48-3.64

***

Entry 2:
The following is a PBE calculation of crystalline Dy8Zn2Ru at its relaxed geometry, from Alexandria.

## Properties
energy relative to the lowest polymorph listed for this composition: 0.0 meV per atom
formation energy: -0.20 eV per atom
DFT total energy: -0.170 hartree per atom
ρ: 8.82 g cm⁻³

a = 9.0465 Å, b = 9.0465 Å, c = 6.7671 Å
α = 107.08°, β = 107.08°, γ = 33.19°
Last column: nearest neighbours and their distance in Å.
Fractional coordinates of all 11 atoms:
Dy: 0.0265 0.0265 0.2886  1 Zn 2.93, 2 Ru 3.06, 1 Dy 3.26
Dy: 0.1977 0.1977 0.8072  1 Zn 2.84
Dy: 0.3405 0.3405 0.5343  1 Ru 2.84, 1 Zn 2.89
Dy: 0.4093 0.4093 0.0658  1 Ru 2.88
Dy: 0.5907 0.5907 0.9342  1 Ru 2.88
Dy: 0.6595 0.6595 0.4657  1 Ru 2.84, 1 Zn 2.89
Dy: 0.8023 0.8023 0.1928  1 Zn 2.84
Dy: 0.9735 0.9735 0.7114  1 Zn 2.93, 2 Ru 3.06, 1 Dy 3.26
Zn: 0.1846 0.1846 0.2161  3 Dy 2.84-2.93
Zn: 0.8154 0.8154 0.7839  3 Dy 2.84-2.93
Ru: 0.5000 0.5000 0.5000  8 Dy 2.84-3.06

***

Entry 3:
The following is a PBE calculation of crystalline NpCdCl2F6 at its relaxed geometry, from Alexandria.

## Properties
DFT total energy: -0.195 hartree per atom
formation energy from raw total energies: -2.419 eV per atom
ρ: 4.41 g cm⁻³

a = 6.0581 Å, b = 9.5589 Å, c = 6.9448 Å
α = 90.00°, β = 90.00°, γ = 90.00°
Last column: nearest neighbours and their distance in Å.
Fractional coordinates of all 20 atoms:
Np: 0.2500 0.2500 0.9996  6 F 2.01-2.07
Np: 0.7500 0.7500 0.0004  6 F 2.01-2.07
Cd: 0.2500 0.7500 0.5005  2 Cl 2.39, 4 F 2.54
Cd: 0.7500 0.2500 0.4995  2 Cl 2.39, 4 F 2.54
Cl: 0.2500 0.9999 0.5000  1 Cd 2.39
Cl: 0.2500 0.5001 0.5000  1 Cd 2.39
Cl: 0.7500 0.0001 0.5000  1 Cd 2.39
Cl: 0.7500 0.4999 0.5000  1 Cd 2.39
F: 0.0080 0.2500 0.2111  1 Np 2.07
F: 0.0081 0.2500 0.7882  1 Np 2.07
F: 0.2500 0.0402 0.9997  1 Np 2.01
F: 0.2500 0.4598 0.9997  1 Np 2.01
F: 0.4920 0.2500 0.2111  1 Np 2.07
F: 0.4919 0.2500 0.7882  1 Np 2.07
F: 0.5081 0.7500 0.2118  1 Np 2.07
F: 0.5080 0.7500 0.7889  1 Np 2.07
F: 0.7500 0.5402 0.0003  1 Np 2.01
F: 0.7500 0.9598 0.0003  1 Np 2.01
F: 0.9919 0.7500 0.2118  1 Np 2.07
F: 0.9920 0.7500 0.7889  1 Np 2.07

***

Entry 4:
The following is a PBE calculation of crystalline ZrTcMo at its relaxed geometry, from Alexandria.

## Properties
energy relative to the lowest polymorph listed for this composition: 59.9 meV per atom
formation energy: -0.17 eV per atom
DFT total energy: -0.371 hartree per atom
ρ: 9.15 g cm⁻³

a = 5.4883 Å, b = 5.4883 Å, c = 5.4883 Å
α = 145.89°, β = 145.89°, γ = 49.02°
Last column: nearest neighbours and their distance in Å.
Fractional coordinates of all 3 atoms:
Zr: 0.0000 0.0000 0.0000  4 Tc 2.86, 5 Mo 2.90-3.20
Tc: 0.6734 0.6734 0.0000  4 Mo 2.71, 4 Zr 2.86
Mo: 0.3204 0.3204 0.0000  4 Tc 2.71, 4 Zr 2.90

***

Entry 5:
The following is a PBE calculation of crystalline Mg2NbSeS at its relaxed geometry, from Alexandria.

## Properties
DFT total energy: -0.140 hartree per atom
formation energy from raw total energies: 0.364 eV per atom
ρ: 3.51 g cm⁻³

a = 4.9673 Å, b = 4.9673 Å, c = 4.8400 Å
α = 90.00°, β = 90.00°, γ = 90.00°
Last column: nearest neighbours and their distance in Å.
Fractional coordinates of all 5 atoms:
Mg: 0.0000 0.5000 0.0000  2 Se 2.48
Mg: 0.5000 0.0000 0.0000  2 Se 2.48
Nb: 0.0000 0.0000 0.5000  2 Se 2.42
Se: 0.0000 0.0000 0.0000  2 Nb 2.42, 4 Mg 2.48
S: 0.5000 0.5000 0.5000  8 Mg 3.47, 4 Nb 3.51

***

Entry 6:
The following is a PBE calculation of crystalline GaTe2PI at its relaxed geometry, from Alexandria.

## Properties
energy relative to the lowest polymorph listed for this composition: 472.3 meV per atom
DFT total energy: -0.090 hartree per atom
formation energy from raw total energies: 0.795 eV per atom
ρ: 4.98 g cm⁻³

a = 5.4553 Å, b = 5.4553 Å, c = 5.4144 Å
α = 90.00°, β = 90.00°, γ = 90.00°
Last column: nearest neighbours and their distance in Å.
Fractional coordinates of all 5 atoms:
Ga: 0.0000 0.0000 0.0000  2 I 2.71, 4 Te 2.73
Te: 0.0000 0.5000 0.0000  2 Ga 2.73
Te: 0.5000 0.0000 0.0000  2 Ga 2.73
P: 0.5000 0.5000 0.5000  8 Te 3.84, 4 I 3.86
I: 0.0000 0.0000 0.5000  2 Ga 2.71

***

Entry 7:
The following is a PBE calculation of crystalline PmTmAgPb at its relaxed geometry, from Alexandria.

## Properties
formation energy: -0.38 eV per atom
DFT total energy: -0.159 hartree per atom
ρ: 9.82 g cm⁻³

a = 5.3183 Å, b = 5.3183 Å, c = 5.3183 Å
α = 60.00°, β = 60.00°, γ = 60.00°
Last column: nearest neighbours and their distance in Å.
Fractional coordinates of all 4 atoms:
Pm: 0.0000 0.0000 0.0000  4 Pb 3.26, 4 Ag 3.26
Tm: 0.5000 0.5000 0.5000  4 Ag 3.26, 4 Pb 3.26
Ag: 0.7500 0.7500 0.7500  4 Tm 3.26, 4 Pm 3.26
Pb: 0.2500 0.2500 0.2500  4 Tm 3.26, 4 Pm 3.26

***

Entry 8:
The following is a PBE calculation of crystalline FeRe2Ag at its relaxed geometry, from Alexandria.

## Properties
energy relative to the lowest polymorph listed for this composition: 319.5 meV per atom
formation energy: 0.61 eV per atom
DFT total energy: -0.310 hartree per atom
ρ: 14.93 g cm⁻³

a = 4.3851 Å, b = 4.3851 Å, c = 4.3851 Å
α = 60.00°, β = 60.00°, γ = 60.00°
Last column: nearest neighbours and their distance in Å.
Fractional coordinates of all 4 atoms:
Fe: 0.0000 0.0000 0.0000  4 Re 2.69, 4 Ag 2.69
Re: 0.5000 0.5000 0.5000  4 Re 2.69, 4 Ag 2.69
Re: 0.7500 0.7500 0.7500  4 Re 2.69, 4 Fe 2.69
Ag: 0.2500 0.2500 0.2500  4 Re 2.69, 4 Fe 2.69

***

Entry 9:
The following is a PBE calculation of crystalline LiTm2HfS6 at its relaxed geometry, from Alexandria.

## Properties
DFT total energy: -0.226 hartree per atom
formation energy from raw total energies: -1.588 eV per atom
ρ: 5.22 g cm⁻³

a = 6.6339 Å, b = 6.6349 Å, c = 7.0946 Å
α = 62.19°, β = 62.21°, γ = 60.01°
Last column: nearest neighbours and their distance in Å.
Fractional coordinates of all 10 atoms:
Li: 0.0000 0.0000 0.0000  6 S 2.56-2.81
Tm: 0.1991 0.1984 0.4044  6 S 2.67-2.71
Tm: 0.7054 0.7045 0.8868  6 S 2.68-2.72
Hf: 0.5117 0.5113 0.4659  6 S 2.52-2.58
S: 0.1328 0.4049 0.6905  1 Hf 2.52, 2 Tm 2.68-2.71, 1 Li 2.81
S: 0.2966 0.8997 0.1944  1 Li 2.57, 1 Hf 2.58, 2 Tm 2.67-2.72
S: 0.4058 0.7721 0.6905  1 Hf 2.52, 2 Tm 2.68-2.71, 1 Li 2.81
S: 0.6104 0.2960 0.1942  1 Li 2.56, 1 Hf 2.58, 2 Tm 2.67-2.72
S: 0.7731 0.1322 0.6905  1 Hf 2.52, 2 Tm 2.68-2.71, 1 Li 2.80
S: 0.9002 0.6095 0.1951  1 Li 2.57, 1 Hf 2.58, 2 Tm 2.67-2.72

***

Entry 10:
The following is a PBE calculation of crystalline PmYErTh at its relaxed geometry, from Alexandria.

## Properties
energy relative to the lowest polymorph listed for this composition: 0.0 meV per atom
formation energy: 0.01 eV per atom
DFT total energy: -0.213 hartree per atom
ρ: 8.13 g cm⁻³

a = 11.7191 Å, b = 11.7191 Å, c = 11.7191 Å
α = 17.66°, β = 17.66°, γ = 17.66°
Last column: nearest neighbours and their distance in Å.
Fractional coordinates of all 4 atoms:
Pm: 0.0000 0.0000 0.0000  3 Er 3.58, 6 Pm 3.60, 3 Y 3.66
Y: 0.4203 0.4203 0.4203  3 Th 3.51, 6 Y 3.60, 3 Pm 3.66
Er: 0.2492 0.2492 0.2492  3 Th 3.47, 3 Pm 3.58, 6 Er 3.60
Th: 0.8356 0.8356 0.8356  3 Er 3.47, 3 Y 3.51, 6 Th 3.60

***

Entry 11:
The following is a PBE calculation of crystalline CrPt5 at its relaxed geometry, from Alexandria.

## Properties
formation energy: -0.12 eV per atom
DFT total energy: -0.248 hartree per atom
ρ: 18.55 g cm⁻³

a = 4.7925 Å, b = 4.7925 Å, c = 4.6242 Å
α = 90.00°, β = 90.00°, γ = 120.00°
Last column: nearest neighbours and their distance in Å.
Fractional coordinates of all 6 atoms:
Cr: 0.0000 0.0000 0.0000  12 Pt 2.77-2.81
Pt: 0.0000 0.6683 0.5000  10 Pt 2.75-2.81, 2 Cr 2.81
Pt: 0.3317 0.3317 0.5000  10 Pt 2.75-2.81, 2 Cr 2.81
Pt: 0.3333 0.6667 0.0000  3 Cr 2.77, 9 Pt 2.77-2.81
Pt: 0.6667 0.3333 0.0000  3 Cr 2.77, 9 Pt 2.77-2.81
Pt: 0.6683 0.0000 0.5000  10 Pt 2.75-2.81, 2 Cr 2.81

***

Entry 12:
The following is a PBE calculation of crystalline SrI2Br2 at its relaxed geometry, from Alexandria.

## Properties
DFT total energy: -0.097 hartree per atom
formation energy from raw total energies: -1.017 eV per atom
ρ: 3.36 g cm⁻³

a = 8.0104 Å, b = 8.0104 Å, c = 7.7316 Å
α = 90.00°, β = 90.00°, γ = 90.00°
Last column: nearest neighbours and their distance in Å.
Fractional coordinates of all 10 atoms:
Sr: 0.0000 0.0000 0.0000  4 Br 2.96
Sr: 0.5000 0.5000 0.0000  4 Br 2.96
I: 0.1192 0.3808 0.5000  1 I 2.70
I: 0.3808 0.8808 0.5000  1 I 2.70
I: 0.6192 0.1192 0.5000  1 I 2.70
I: 0.8808 0.6192 0.5000  1 I 2.70
Br: 0.1751 0.6751 0.0000  2 Sr 2.96
Br: 0.3249 0.1751 0.0000  2 Sr 2.96
Br: 0.6751 0.8249 0.0000  2 Sr 2.96
Br: 0.8249 0.3249 0.0000  2 Sr 2.96

***

Entry 13:
The following is a PBE calculation of crystalline SiP2SeO at its relaxed geometry, from Alexandria.

## Properties
energy relative to the lowest polymorph listed for this composition: 829.1 meV per atom
DFT total energy: -0.155 hartree per atom
formation energy from raw total energies: 0.707 eV per atom
ρ: 3.58 g cm⁻³

a = 4.8185 Å, b = 4.8185 Å, c = 3.6942 Å
α = 90.00°, β = 90.00°, γ = 90.00°
Last column: nearest neighbours and their distance in Å.
Fractional coordinates of all 5 atoms:
Si: 0.0000 0.0000 0.0000  8 P 3.04
P: 0.0000 0.5000 0.5000  2 Se 2.41
P: 0.5000 0.0000 0.5000  2 Se 2.41
Se: 0.5000 0.5000 0.5000  2 O 1.85
O: 0.5000 0.5000 0.0000  2 Se 1.85

***

DOS at the Fermi energy (computed, states/eV/atom): 1.75; 0.74; 0.80; 0.73; 0.67; 0.84; 0.89; 1.24; 0.96; 1.56; 1.51; 0.00; 0.68